<a>
VASP calculation (PBE) on a geometry-optimized Li3NbSi structure.

POSCAR file:
```
Li3NbSi
1.0
-2.563 3.407 -0.776
-3.292 -2.677 -0.881
-1.172 0.069 4.171
Nb Si Li
1 1 3
direct
0.500 0.500 0.500 Nb
0.000 0.000 0.000 Si
0.000 0.500 0.000 Li
0.000 0.000 0.500 Li
0.500 0.000 0.000 Li
```

Values from the calculation:
M_tot, μB per cell: 0.0

<b>
VASP calculation (PBE) on a geometry-optimized Li3NbSi structure.

POSCAR file:
```
Li3NbSi
1.0
4.885 0.000 0.000
0.000 4.885 0.000
0.000 0.000 4.885
Nb Si Li
1 1 3
direct
0.000 0.000 0.000 Nb
0.500 0.500 0.500 Si
0.000 0.500 0.000 Li
0.000 0.000 0.500 Li
0.500 0.000 0.000 Li
```

Values from the calculation:
M_tot, μB per cell: 3.9

Result of the stability comparison: <b> is the least stable of them.

<a>
VASP calculation (PBE) on a geometry-optimized LiNb3Sn structure.

POSCAR file:
```
LiNb3Sn
1.0
4.482 0.000 0.000
0.000 4.482 0.000
0.000 0.000 4.482
Nb Sn Li
3 1 1
direct
0.000 0.500 0.000 Nb
0.000 0.000 0.500 Nb
0.500 0.000 0.000 Nb
0.500 0.500 0.500 Sn
0.000 0.000 0.000 Li
```

Values from the calculation:
M_tot, μB per cell: 0.0

<b>
VASP calculation (PBE) on a geometry-optimized LiNb3Sn structure.

POSCAR file:
```
LiNb3Sn
1.0
-3.696 -1.643 -3.140
2.885 -4.030 -1.287
-2.059 -2.698 3.834
Nb Sn Li
3 1 1
direct
0.000 0.500 0.000 Nb
0.000 0.000 0.500 Nb
0.500 0.000 0.000 Nb
0.000 0.000 0.000 Sn
0.500 0.500 0.500 Li
```

Values from the calculation:
M_tot, μB per cell: 0.0

Result of the stability comparison: <b> is the least stable of them.

<a>
VASP calculation (PBE) on a geometry-optimized Li2NbSn2 structure.

POSCAR file:
```
Li2NbSn2
1.0
3.710 0.000 0.000
0.000 3.710 0.000
1.855 1.855 6.986
Nb Sn Li
1 2 2
direct
0.000 0.000 0.000 Nb
0.396 0.396 0.207 Sn
0.604 0.604 0.793 Sn
0.750 0.250 0.500 Li
0.250 0.750 0.500 Li
```

Values from the calculation:
M_tot, μB per cell: 0.0

<b>
VASP calculation (PBE) on a geometry-optimized Li2NbSn2 structure.

POSCAR file:
```
Li2NbSn2
1.0
7.835 0.000 0.000
0.000 7.835 0.000
0.000 0.000 3.095
Nb Sn Li
2 4 4
direct
0.000 0.000 0.000 Nb
0.500 0.500 0.000 Nb
0.334 0.834 0.000 Sn
0.834 0.666 0.000 Sn
0.666 0.166 0.000 Sn
0.166 0.334 0.000 Sn
0.133 0.633 0.500 Li
0.633 0.867 0.500 Li
0.867 0.367 0.500 Li
0.367 0.133 0.500 Li
```

Values from the calculation:
M_tot, μB per cell: 0.0

Result of the stability comparison: <a> is the least stable of them.

<a>
VASP calculation (PBE) on a geometry-optimized SrLiNb2 structure.

POSCAR file:
```
SrLiNb2
1.0
0.453 3.278 3.678
-3.403 0.180 3.586
1.131 -1.542 4.563
Sr Nb Li
1 2 1
direct
0.500 0.500 0.500 Sr
0.250 0.250 0.250 Nb
0.750 0.750 0.750 Nb
0.000 0.000 0.000 Li
```

Values from the calculation:
M_tot, μB per cell: 0.0

<b>
VASP calculation (PBE) on a geometry-optimized SrLiNb2 structure.

POSCAR file:
```
SrLiNb2
1.0
-2.141 4.037 1.334
-0.006 -1.497 4.518
8.390 5.789 4.436
Sr Nb Li
2 4 2
direct
0.000 0.000 0.000 Sr
0.750 0.250 0.500 Sr
0.375 0.125 0.250 Nb
0.375 0.625 0.250 Nb
0.375 0.625 0.750 Nb
0.875 0.625 0.750 Nb
0.500 0.500 0.000 Li
0.250 0.750 0.500 Li
```

Values from the calculation:
M_tot, μB per cell: 0.0

Result of the stability comparison: <a> is the least stable of them.

<a>
VASP calculation (PBE) on a geometry-optimized SrLiNb3 structure.

POSCAR file:
```
SrLiNb3
1.0
4.763 0.000 0.000
0.000 4.763 0.000
0.000 0.000 4.763
Sr Nb Li
1 3 1
direct
0.500 0.500 0.500 Sr
0.000 0.500 0.000 Nb
0.000 0.000 0.500 Nb
0.500 0.000 0.000 Nb
0.000 0.000 0.000 Li
```

Values from the calculation:
M_tot, μB per cell: 0.0

<b>
VASP calculation (PBE) on a geometry-optimized SrLiNb3 structure.

POSCAR file:
```
SrLiNb3
1.0
-3.981 -1.656 -2.392
-2.284 -0.730 4.308
-1.801 4.586 -0.178
Sr Nb Li
1 3 1
direct
0.000 0.000 0.000 Sr
0.000 0.500 0.000 Nb
0.000 0.000 0.500 Nb
0.500 0.000 0.000 Nb
0.500 0.500 0.500 Li
```

Values from the calculation:
M_tot, μB per cell: 0.0

Result of the stability comparison: <b> is the least stable of them.

<a>
VASP calculation (PBE) on a geometry-optimized SrLi2Nb structure.

POSCAR file:
```
SrLi2Nb
1.0
0.000 3.698 3.698
3.698 0.000 3.698
3.698 3.698 0.000
Sr Nb Li
1 1 2
direct
0.000 0.000 0.000 Sr
0.500 0.500 0.500 Nb
0.250 0.250 0.250 Li
0.750 0.750 0.750 Li
```

Values from the calculation:
M_tot, μB per cell: 3.6

<b>
VASP calculation (PBE) on a geometry-optimized SrLi2Nb structure.

POSCAR file:
```
SrLi2Nb
1.0
-2.233 -6.974 -3.746
7.108 -0.053 -4.140
3.808 -5.228 -1.568
Sr Nb Li
2 2 4
direct
0.500 0.500 0.000 Sr
0.250 0.750 0.500 Sr
0.000 0.000 0.000 Nb
0.750 0.250 0.500 Nb
0.658 0.125 0.250 Li
0.092 0.625 0.250 Li
0.375 0.342 0.750 Li
0.875 0.908 0.750 Li
```

Values from the calculation:
M_tot, μB per cell: 7.6

Result of the stability comparison: <b> is the least stable of them.